Entry 1:
Cr2FeCu | PBE | optimized geometry

Cell lengths 2.416, 3.921, 4.919 Å; angles 90.00, 99.65, 90.00 degrees
Atoms (fractional coordinates):
1 Cr 0.025 0.000 0.258
2 Cr 0.975 0.000 0.742
3 Fe 0.500 0.500 0.500
4 Cu 0.500 0.500 0.000

Computed properties:
calculated formation energy	21.7	kJ per mole of atoms
electronic total energy	-0.2840	hartree per atom
distance to the lowest polymorph of the same formula	0.088	eV/atom
symmetry	P2/m (10)

Entry 2:
MgFe2Mo | PBE | optimized geometry

Cell lengths 2.650, 2.650, 8.486 Å; angles 90.00, 90.00, 106.48 degrees
Atoms (fractional coordinates):
1 Mg 0.000 0.000 0.000
2 Fe 0.000 0.000 0.471
3 Fe 0.500 0.500 0.258
4 Mo 0.500 0.500 0.713

Computed properties:
calculated formation energy	21.1	kJ per mole of atoms
electronic total energy	-0.2616	hartree per atom
symmetry	Cmm2 (35)

Entry 3:
CsRuCl5 | PBE | optimized geometry

Cell lengths 7.552, 7.552, 9.900 Å; angles 109.09, 109.09, 60.65 degrees
Atoms (fractional coordinates):
1 Cs 0.002 0.998 0.750
2 Cs 0.998 0.002 0.250
3 Ru 0.500 0.500 0.000
4 Ru 0.500 0.500 0.500
5 Cl 0.148 0.581 0.942
6 Cl 0.149 0.577 0.422
7 Cl 0.419 0.852 0.558
8 Cl 0.423 0.851 0.078
9 Cl 0.471 0.529 0.750
10 Cl 0.529 0.471 0.250
11 Cl 0.577 0.149 0.922
12 Cl 0.581 0.148 0.442
13 Cl 0.851 0.423 0.578
14 Cl 0.852 0.419 0.058

Computed properties:
formation energy without anion corrections	-85.8	kJ per mole of atoms
electronic total energy	-0.1343	hartree per atom
symmetry	C2/c (15)

Entry 4:
Zn3MoN | PBE | optimized geometry

Cell lengths 4.965, 4.965, 4.965 Å; angles 90.00, 90.00, 90.00 degrees
Atoms (fractional coordinates):
1 Zn 0.000 0.000 0.500
2 Zn 0.000 0.500 0.000
3 Zn 0.500 0.000 0.000
4 Mo 0.000 0.000 0.000
5 N 0.500 0.500 0.500

Computed properties:
formation energy without anion corrections	213.0	kJ per mole of atoms
electronic total energy	-0.0878	hartree per atom
distance to the lowest polymorph of the same formula	1.404	eV/atom
symmetry	Pm-3m (221)

Entry 5:
Y12ErTm2 | PBE | optimized geometry

Cell lengths 3.643, 5.669, 23.514 Å; angles 90.00, 94.40, 90.00 degrees
Atoms (fractional coordinates):
1 Y 0.035 0.000 0.066
2 Y 0.073 0.500 0.147
3 Y 0.160 0.000 0.321
4 Y 0.208 0.500 0.423
5 Y 0.281 0.000 0.558
6 Y 0.404 0.000 0.807
7 Y 0.596 0.000 0.193
8 Y 0.719 0.000 0.442
9 Y 0.792 0.500 0.577
10 Y 0.840 0.000 0.679
11 Y 0.927 0.500 0.853
12 Y 0.965 0.000 0.934
13 Er 0.500 0.500 0.000
14 Tm 0.359 0.500 0.716
15 Tm 0.641 0.500 0.284

Computed properties:
calculated formation energy	7.6	kJ per mole of atoms
electronic total energy	-0.2202	hartree per atom
symmetry	P2/m (10)

Entry 6:
LaCrMo2 | PBE | optimized geometry

Cell lengths 4.667, 4.667, 4.667 Å; angles 60.00, 60.00, 60.00 degrees
Atoms (fractional coordinates):
1 La 0.000 0.000 0.000
2 Cr 0.250 0.250 0.250
3 Mo 0.500 0.500 0.500
4 Mo 0.750 0.750 0.750

Computed properties:
calculated formation energy	59.8	kJ per mole of atoms
electronic total energy	-0.3099	hartree per atom
distance to the lowest polymorph of the same formula	0.206	eV/atom
symmetry	F-43m (216)

Entry 7:
AgPd2Ru | PBE | optimized geometry

Cell lengths 5.759, 5.759, 5.759 Å; angles 103.15, 103.15, 123.02 degrees
Atoms (fractional coordinates):
1 Ag 0.000 0.000 0.000
2 Ag 0.750 0.250 0.500
3 Pd 0.143 0.625 0.018
4 Pd 0.375 0.393 0.518
5 Pd 0.607 0.125 0.982
6 Pd 0.875 0.857 0.482
7 Ru 0.250 0.750 0.500
8 Ru 0.500 0.500 0.000

Computed properties:
calculated formation energy	65.9	kJ per mole of atoms
electronic total energy	-0.1817	hartree per atom
distance to the lowest polymorph of the same formula	0.566	eV/atom
symmetry	I-42d (122)

Entry 8:
Ca3Zn9Ga2 | PBE | optimized geometry

Cell lengths 8.313, 8.313, 8.313 Å; angles 149.90, 109.84, 78.19 degrees
Atoms (fractional coordinates):
1 Ca 0.000 0.000 0.000
2 Ca 0.305 0.305 0.000
3 Ca 0.695 0.695 0.000
4 Zn 0.031 0.668 0.363
5 Zn 0.150 0.868 0.282
6 Zn 0.304 0.668 0.637
7 Zn 0.414 0.132 0.282
8 Zn 0.500 0.000 0.500
9 Zn 0.586 0.868 0.718
10 Zn 0.696 0.332 0.363
11 Zn 0.850 0.132 0.718
12 Zn 0.969 0.332 0.637
13 Ga 0.292 0.500 0.792
14 Ga 0.708 0.500 0.208

Computed properties:
calculated formation energy	-25.6	kJ per mole of atoms
electronic total energy	-0.0715	hartree per atom
symmetry	Immm (71)

Entry 9:
CeIr2 | PBE | optimized geometry

Cell lengths 6.624, 6.624, 6.624 Å; angles 154.44, 154.44, 36.46 degrees
Atoms (fractional coordinates):
1 Ce 0.000 0.000 0.000
2 Ir 0.322 0.322 0.000
3 Ir 0.678 0.678 0.000

Computed properties:
calculated formation energy	-13.5	kJ per mole of atoms
electronic total energy	-0.2949	hartree per atom
symmetry	I4/mmm (139)

Entry 10:
Pr2Mg3Zn | PBE | optimized geometry

Cell lengths 3.428, 5.147, 8.899 Å; angles 90.00, 90.00, 90.00 degrees
Atoms (fractional coordinates):
1 Pr 0.000 0.000 0.000
2 Pr 0.000 0.500 0.470
3 Mg 0.500 0.000 0.645
4 Mg 0.500 0.500 0.152
5 Mg 0.500 0.500 0.815
6 Zn 0.500 0.000 0.320

Computed properties:
calculated formation energy	-13.1	kJ per mole of atoms
electronic total energy	-0.1006	hartree per atom
symmetry	Pmm2 (25)

Entry 11:
CePaMn17 | PBE | optimized geometry

Cell lengths 6.293, 6.293, 6.293 Å; angles 86.42, 86.42, 86.42 degrees
Atoms (fractional coordinates):
1 Ce 0.000 0.000 0.000
2 Pa 0.709 0.709 0.709
3 Mn 0.085 0.358 0.628
4 Mn 0.085 0.628 0.358
5 Mn 0.232 0.716 0.716
6 Mn 0.256 0.256 0.256
7 Mn 0.357 0.357 0.856
8 Mn 0.357 0.856 0.357
9 Mn 0.358 0.085 0.628
10 Mn 0.358 0.628 0.085
11 Mn 0.462 0.462 0.462
12 Mn 0.483 0.997 0.997
13 Mn 0.628 0.085 0.358
14 Mn 0.628 0.358 0.085
15 Mn 0.716 0.232 0.716
16 Mn 0.716 0.716 0.232
17 Mn 0.856 0.357 0.357
18 Mn 0.997 0.483 0.997
19 Mn 0.997 0.997 0.483

Computed properties:
calculated formation energy	0.8	kJ per mole of atoms
electronic total energy	-0.3311	hartree per atom
symmetry	R3m (160)

Entry 12:
Zr2ScNi | PBE | optimized geometry

Cell lengths 3.329, 4.274, 5.819 Å; angles 90.00, 104.06, 90.00 degrees
Atoms (fractional coordinates):
1 Zr 0.000 0.000 0.000
2 Zr 0.400 0.500 0.730
3 Sc 0.795 0.000 0.453
4 Ni 0.402 0.500 0.223

Computed properties:
calculated formation energy	-4.0	kJ per mole of atoms
electronic total energy	-0.2699	hartree per atom
distance to the lowest polymorph of the same formula	0.201	eV/atom
symmetry	Pm (6)